# Y4Tl2Zn | Alexandria via LeMat-Bulk | PBE | optimized geometry
# Total energy: -4.8027 eV/atom
# Density of states at the Fermi level: 7.0 states/eV/f.u.
# Calculated formation energy: -251 meV/atom
data_Y4Tl2Zn
_chemical_formula_sum 'Y12 Tl6 Zn3'
_cell_length_a 5.2195
_cell_length_b 5.2195
_cell_length_c 25.5251
_cell_angle_alpha 90.00
_cell_angle_beta 90.00
_cell_angle_gamma 120.00
_space_group_name_H-M_alt 'R -3 m'
_space_group_IT_number 166
_space_group_name_Hall '-R 3 2"'
loop_
_atom_site_label
_atom_site_type_symbol
_atom_site_fract_x
_atom_site_fract_y
_atom_site_fract_z
Y1 Y 0.0000 0.0000 0.1244
Y2 Y 0.0000 0.0000 0.3750
Tl1 Tl 0.0000 0.0000 0.2480
Zn1 Zn 0.0000 0.0000 0.0000